[1]
The following is a DFT calculation (PBE) of LiZnIr2 after structural relaxation.

Lattice parameters (Å, degrees): 6.042 6.042 6.042 90.00 90.00 90.00
Space group F-43m (No. 216)
Symmetry-distinct sites (fractional):
Li 0.000 0.000 0.000 (multiplicity 4)
Zn 0.250 0.250 0.750 (multiplicity 4)
Ir 0.000 0.000 0.500 (multiplicity 4)
Ir 0.250 0.250 0.250 (multiplicity 4)


[2]
The following is a DFT calculation (PBE) of Hf2MoPb after structural relaxation.

Lattice parameters (Å, degrees): 6.857 6.857 6.857 90.00 90.00 90.00
Space group F-43m (No. 216)
Symmetry-distinct sites (fractional):
Hf 0.000 0.000 0.000 (multiplicity 4)
Hf 0.250 0.250 0.250 (multiplicity 4)
Mo 0.250 0.250 0.750 (multiplicity 4)
Pb 0.000 0.000 0.500 (multiplicity 4)


[3]
The following is a DFT calculation (PBE) of BaNaTmSe3 after structural relaxation.

Results
energy relative to the lowest polymorph listed for this composition	0.006	eV/atom

Lattice parameters (Å, degrees): 10.776 4.377 14.258 90.00 90.00 90.00
Space group Pnma (No. 62)
Symmetry-distinct sites (fractional):
Ba 0.250 0.250 0.003 (multiplicity 4)
Na 0.248 0.250 0.278 (multiplicity 4)
Tm 0.002 0.250 0.750 (multiplicity 4)
Se 0.041 0.250 0.383 (multiplicity 4)
Se 0.045 0.750 0.883 (multiplicity 4)
Se 0.248 0.750 0.173 (multiplicity 4)


[4]
The following is a DFT calculation (PBE) of MgCdNiS3 after structural relaxation.

Results
energy relative to the lowest polymorph listed for this composition	0.009	eV/atom

Lattice parameters (Å, degrees): 3.419 13.710 10.393 90.00 90.00 90.00
Space group Cmcm (No. 63)
Symmetry-distinct sites (fractional):
Mg 0.000 0.181 0.250 (multiplicity 4)
Cd 0.000 0.445 0.250 (multiplicity 4)
Ni 0.000 0.000 0.000 (multiplicity 4)
S 0.000 0.193 0.750 (multiplicity 4)
S 0.000 0.411 0.577 (multiplicity 8)


[5]
The following is a DFT calculation (PBE) of HfGaCo2 after structural relaxation.

Lattice parameters (Å, degrees): 4.063 4.063 3.312 90.00 90.00 90.00
Space group P4/mmm (No. 123)
Symmetry-distinct sites (fractional):
Hf 0.000 0.000 0.000 (multiplicity 1)
Ga 0.500 0.500 0.000 (multiplicity 1)
Co 0.000 0.500 0.500 (multiplicity 2)


[6]
The following is a DFT calculation (PBE) of LuZrCuPd after structural relaxation.

Results
energy relative to the lowest polymorph listed for this composition	0.207	eV/atom

Lattice parameters (Å, degrees): 6.583 6.583 6.583 90.00 90.00 90.00
Space group F-43m (No. 216)
Symmetry-distinct sites (fractional):
Lu 0.000 0.000 0.000 (multiplicity 4)
Zr 0.250 0.250 0.750 (multiplicity 4)
Cu 0.250 0.250 0.250 (multiplicity 4)
Pd 0.000 0.000 0.500 (multiplicity 4)


[7]
The following is a DFT calculation (PBE) of AcNdCd after structural relaxation.

Lattice parameters (Å, degrees): 7.520 7.520 7.520 90.00 90.00 90.00
Space group F-43m (No. 216)
Symmetry-distinct sites (fractional):
Ac 0.000 0.000 0.000 (multiplicity 4)
Nd 0.250 0.250 0.250 (multiplicity 4)
Cd 0.000 0.000 0.500 (multiplicity 4)


[8]
The following is a DFT calculation (PBE) of LaSm2Fe2Si4Pd2 after structural relaxation.

Lattice parameters (Å, degrees): 4.095 4.174 23.892 90.00 90.00 90.00
Space group Immm (No. 71)
Symmetry-distinct sites (fractional):
La 0.000 0.000 0.000 (multiplicity 2)
Sm 0.000 0.500 0.154 (multiplicity 4)
Fe 0.000 0.000 0.250 (multiplicity 4)
Si 0.000 0.000 0.450 (multiplicity 4)
Si 0.000 0.500 0.294 (multiplicity 4)
Pd 0.000 0.500 0.397 (multiplicity 4)


no.,magnetization (μB per atom),E_tot (eV per atom)
1,0.21,-5.30
2,0.00,-8.34
3,0.00,-4.69
4,0.00,-3.88
5,0.00,-7.19
6,0.00,-5.74
7,0.01,-2.89
8,0.00,-6.53